(P)
Entry from the Alexandria database: ScTaIO2 after structural relaxation (PBE-GGA).

POSCAR file:
```
ScTaIO2
1.0
4.085 0.000 0.000
0.000 4.085 0.000
0.000 0.000 5.716
Sc Ta I O
1 1 1 2
Direct
0.000 0.000 0.000
0.500 0.500 0.500
0.000 0.000 0.500
0.000 0.500 0.000
0.500 0.000 0.000
```



(Q)
Entry from the Alexandria database: ScTaIO2 after structural relaxation (PBE-GGA).

POSCAR file:
```
ScTaIO2
1.0
3.976 0.000 0.000
0.000 3.976 0.000
0.000 0.000 6.462
Sc Ta I O
1 1 1 2
Direct
0.000 0.000 0.000
0.500 0.500 0.500
0.500 0.500 0.000
0.000 0.500 0.500
0.500 0.000 0.500
```



The structure with the least stability is (P).



(P)
Entry from the Alexandria database: ScTcI2O after structural relaxation (PBE-GGA).

POSCAR file:
```
ScTcI2O
1.0
5.917 0.000 0.000
0.000 5.917 0.000
0.000 0.000 3.844
Sc Tc I O
1 1 2 1
Direct
0.000 0.000 0.000
0.500 0.500 0.500
0.000 0.500 0.000
0.500 0.000 0.000
0.000 0.000 0.500
```



(Q)
Entry from the Alexandria database: ScTcI2O after structural relaxation (PBE-GGA).

POSCAR file:
```
ScTcI2O
1.0
5.631 0.000 0.000
0.000 5.631 0.000
0.000 0.000 3.747
Sc Tc I O
1 1 2 1
Direct
0.000 0.000 0.000
0.500 0.500 0.500
0.000 0.500 0.500
0.500 0.000 0.500
0.500 0.500 0.000
```



The structure with the least stability is (Q).



(P)
Entry from the Alexandria database: ScTcIO2 after structural relaxation (PBE-GGA).

POSCAR file:
```
ScTcIO2
1.0
3.906 0.000 0.000
0.000 3.906 0.000
0.000 0.000 6.059
Sc Tc I O
1 1 1 2
Direct
0.000 0.000 0.000
0.500 0.500 0.500
0.500 0.500 0.000
0.000 0.500 0.500
0.500 0.000 0.500
```



(Q)
Entry from the Alexandria database: ScTcIO2 after structural relaxation (PBE-GGA).

POSCAR file:
```
ScTcIO2
1.0
4.063 0.000 0.000
0.000 4.063 0.000
0.000 0.000 5.985
Sc Tc I O
1 1 1 2
Direct
0.000 0.000 0.000
0.500 0.500 0.500
0.000 0.000 0.500
0.000 0.500 0.000
0.500 0.000 0.000
```



The structure with the least stability is (P).



(P)
Entry from the Alexandria database: ScTiIO2 after structural relaxation (PBE-GGA).

POSCAR file:
```
ScTiIO2
1.0
3.957 0.000 0.000
0.000 3.957 0.000
0.000 0.000 5.593
Sc Ti I O
1 1 1 2
Direct
0.000 0.000 0.000
0.500 0.500 0.500
0.500 0.500 0.000
0.000 0.500 0.500
0.500 0.000 0.500
```



(Q)
Entry from the Alexandria database: ScTiIO2 after structural relaxation (PBE-GGA).

POSCAR file:
```
ScTiIO2
1.0
4.090 0.000 0.000
0.000 4.090 0.000
0.000 0.000 5.768
Sc Ti I O
1 1 1 2
Direct
0.000 0.000 0.000
0.500 0.500 0.500
0.000 0.000 0.500
0.000 0.500 0.000
0.500 0.000 0.000
```



The structure with the least stability is (Q).